Entry 1:
A plane-wave DFT calculation with PBE was carried out for crystalline Fe3Co2 at its relaxed geometry.

Output
Magnetization, μB per atom: 2.2573
SG: Fddd

a = 7.327 Å, b = 6.496 Å, c = 4.733 Å
α = 79.77°, β = 60.76°, γ = 39.47°
Last column: magnetic moment on the atom in μB.
Sites, in units of the cell vectors:
Co: 0.949 0.150 0.551  1.68
Co: 0.100 0.301 0.899  1.68
Co: 0.351 0.551 0.150  1.68
Co: 0.699 0.899 0.301  1.68
Fe: 0.548 0.748 0.952  2.64
Fe: 0.900 0.100 0.100  2.73
Fe: 0.752 0.952 0.748  2.64
Fe: 0.502 0.702 0.498  2.64
Fe: 0.298 0.498 0.702  2.64
Fe: 0.150 0.350 0.350  2.73

Entry 2:
A plane-wave DFT calculation with PBE was carried out for crystalline Pr4AlTl at its relaxed geometry.

Output
Magnetization, μB per atom: 0.0000
SG: P2_1/m

a = 6.346 Å, b = 9.140 Å, c = 6.917 Å
α = 90.00°, β = 90.00°, γ = 107.15°
Sites, in units of the cell vectors:
Pr: 0.059 0.786 0.995
Pr: 0.356 0.543 0.750
Pr: 0.644 0.457 0.250
Pr: 0.430 0.165 0.750
Pr: 0.941 0.214 0.005
Pr: 0.570 0.835 0.250
Pr: 0.059 0.786 0.505
Pr: 0.941 0.214 0.495
Al: 0.823 0.473 0.750
Al: 0.177 0.527 0.250
Tl: 0.660 0.890 0.750
Tl: 0.340 0.110 0.250

Raw total energy (eV per atom)
-7.8581, -4.4046
Calculated formation energy (eV/atom)
0.062, -0.200